DFT (meta-GGA SCAN) results for a crystal of ScAgTe2 relaxed with PBEsol.

DOS at the Fermi energy = 0.0 states/eV/f.u.
formation energy (no corrections) = -317 kJ/mol of formula units
V = 30.2 Å³ per atom

Cell lengths 4.466, 4.466, 6.064 Å; angles 90.00, 90.00, 90.00 degrees
Space group P-4m2 (No. 115)
Asymmetric unit:
Sc1 0.000 0.000 0.000 [1 per cell]
Ag1 0.500 0.500 0.000 [1 per cell]
Te1 0.000 0.500 0.722 [2 per cell]

---

DFT (meta-GGA SCAN) results for a crystal of BaMnSe2 relaxed with PBEsol.

DOS at the Fermi energy = 0.6 states/eV/f.u.
formation energy (no corrections) = -531 kJ/mol of formula units
V = 27.7 Å³ per atom

Cell lengths 4.198, 3.732, 7.075 Å; angles 90.00, 90.18, 90.00 degrees
Space group P2/m (No. 10)
Asymmetric unit:
Ba1 0.000 0.000 0.000 [1 per cell]
Mn1 0.500 0.000 0.500 [1 per cell]
Se1 0.499 0.500 0.742 [2 per cell]

---

Question: What is the formation energy (no corrections) in the first record?
Answer: -317 kJ/mol of formula units